DFT (PBE) results for a relaxed Mg2Zn crystal.

a = 5.3302 Å, b = 5.3302 Å, c = 4.7862 Å
α = 90.00°, β = 90.00°, γ = 120.00°
Atoms (fractional coordinates):
1 Mg 0.0000 0.0000 0.5000
2 Mg 0.0000 0.6510 0.0000
3 Mg 0.6510 0.0000 0.0000
4 Mg 0.3490 0.3490 0.0000
5 Zn 0.6667 0.3333 0.5000
6 Zn 0.3333 0.6667 0.5000

ρ = 3.2 g/cm³
size of the total moment = 0.00 μB per cell
raw total energy = -4.5 eV per formula unit

DFT (PBE) results for a relaxed CdHRh3 crystal.

a = 5.1764 Å, b = 7.0898 Å, c = 7.6506 Å
α = 90.00°, β = 90.00°, γ = 90.00°
Atoms (fractional coordinates):
1 Cd 0.5000 0.0000 0.0000
2 Rh 0.7463 0.7500 0.2765
3 Rh 0.5220 0.5775 0.6509
4 Rh 0.4780 0.4225 0.3491
5 Rh 0.2463 0.7500 0.2235
6 Rh 0.7537 0.2500 0.7765
7 Rh 0.9780 0.4225 0.1509
8 H 0.5159 0.2500 0.5730
9 H 0.4841 0.7500 0.4270
10 Cd 0.5000 0.5000 0.0000
11 Rh 0.5220 0.9225 0.6509
12 Cd 0.0000 0.0000 0.5000
13 Rh 0.0220 0.9225 0.8491
14 Rh 0.4780 0.0775 0.3491
15 Rh 0.2537 0.2500 0.7235
16 H 0.0159 0.2500 0.9270
17 H 0.9841 0.7500 0.0730
18 Rh 0.9780 0.0775 0.1509
19 Cd 0.0000 0.5000 0.5000
20 Rh 0.0220 0.5775 0.8491

ρ = 10.0 g/cm³
size of the total moment = 0.00 μB per cell
raw total energy = -25.3 eV per formula unit

DFT (PBE) results for a relaxed Ca2MnP2 crystal.

a = 3.7772 Å, b = 3.7772 Å, c = 9.0886 Å
α = 90.00°, β = 90.00°, γ = 120.00°
Last column: magnetic moment on the atom in μB.
Atoms (fractional coordinates):
1 Ca 0.6667 0.3333 0.6906  -0.02
2 Mn 0.0000 0.0000 0.0000  2.58
3 P 0.6667 0.3333 0.1205  -0.07
4 Ca 0.3333 0.6667 0.3094  -0.02
5 P 0.3333 0.6667 0.8795  -0.07

ρ = 2.9 g/cm³
size of the total moment = 2.37 μB per cell
raw total energy = -26.8 eV per formula unit

DFT (PBE) results for a relaxed SmTh2Au3 crystal.

a = 3.6046 Å, b = 5.2643 Å, c = 16.0513 Å
α = 90.00°, β = 90.00°, γ = 90.00°
Atoms (fractional coordinates):
1 Au 0.5003 0.5000 0.3379
2 Au 0.4997 0.0000 0.1621
3 Au 0.4997 0.0000 0.8379
4 Th 0.0003 0.0000 0.3321
5 Au 0.4998 0.5000 0.0000
6 Au 0.5003 0.5000 0.6621
7 Sm 0.0000 0.0000 0.0000
8 Au 0.5002 0.0000 0.5000
9 Th 0.0003 0.0000 0.6679
10 Th 0.9997 0.5000 0.8321
11 Th 0.9997 0.5000 0.1679
12 Sm 0.0000 0.5000 0.5000

ρ = 13.1 g/cm³
size of the total moment = 0.00 μB per cell
raw total energy = -33.2 eV per formula unit

DFT (PBE) results for a relaxed ReC2 crystal.

a = 2.8741 Å, b = 2.8741 Å, c = 8.1462 Å
α = 90.00°, β = 90.00°, γ = 120.00°
Atoms (fractional coordinates):
1 C 0.0000 0.0000 0.9152
2 C 0.0000 0.0000 0.0848
3 Re 0.6667 0.3333 0.7500
4 C 0.0000 0.0000 0.4152
5 C 0.0000 0.0000 0.5848
6 Re 0.3333 0.6667 0.2500

ρ = 12.0 g/cm³
size of the total moment = 0.00 μB per cell
raw total energy = -29.6 eV per formula unit

DFT (PBE) results for a relaxed RbCd3Pd crystal.

a = 3.2008 Å, b = 7.2724 Å, c = 7.2724 Å
α = 127.30°, β = 90.00°, γ = 90.00°
Atoms (fractional coordinates):
1 Cd 0.5000 0.1035 0.3568
2 Rb 0.0000 0.6044 0.3956
3 Cd 0.5000 0.6432 0.8965
4 Cd 0.0000 0.2256 0.7744
5 Pd 0.5000 0.0514 0.9486

ρ = 6.5 g/cm³
size of the total moment = 0.00 μB per cell
raw total energy = -9.1 eV per formula unit

DFT (PBE) results for a relaxed La4SnSbN crystal.

a = 6.9160 Å, b = 6.9473 Å, c = 9.4013 Å
α = 90.00°, β = 111.58°, γ = 90.00°
Last column: magnetic moment on the atom in μB.
Atoms (fractional coordinates):
1 Sb 0.1106 0.2500 0.2211  -0.01
2 La 0.9230 0.2500 0.8461  0.09
3 Sn 0.3908 0.2500 0.7816  -0.01
4 N 0.7235 0.2500 0.4470  0.00
5 La 0.0000 0.5000 0.5000  0.05
6 La 0.5837 0.2500 0.1675  0.02
7 N 0.2765 0.7500 0.5530  0.00
8 La 0.0770 0.7500 0.1539  0.09
9 La 0.0000 0.0000 0.5000  0.05
10 La 0.5000 0.0000 0.5000  0.05
11 La 0.4163 0.7500 0.8325  0.02
12 Sb 0.8894 0.7500 0.7789  -0.01
13 Sn 0.6092 0.7500 0.2184  -0.01
14 La 0.5000 0.5000 0.5000  0.05

ρ = 6.4 g/cm³
E_form (uncorrected) = -23.525 kcal/mol of atoms
size of the total moment = 0.95 μB per cell
raw total energy = -43.3 eV per formula unit